Mo2PPt: optimized geometry, PBE-GGA.

Unit cell a=5.3508 b=5.3508 c=3.9761 alpha=90.00 beta=90.00 gamma=148.30
With the nearest neighbours (Å) after each atom.
Fractional coordinates of all 4 atoms:
P1 0.6926 0.3074 0.0000  5 Mo 2.41-2.67, 2 Pt 2.42
Mo1 0.2922 0.7078 0.5000  4 P 2.67, 3 Pt 2.75-2.81, 6 Mo 2.83-2.92
Pt1 0.5592 0.4408 0.5000  2 P 2.42
Mo2 0.9262 0.0738 0.0000  1 P 2.41

Values from the calculation:
As for the formation enthalpy at 0 K: -74 kJ/mol of formula units.